Record 1
PtBr4Cl after structural relaxation, computed with PBE-GGA.

Cell lengths 5.9968, 5.9968, 5.9968 Å; angles 60.00, 60.00, 60.00 degrees
With the nearest neighbours (Å) after each atom.
Fractional positions:
Pt 0.0000 0.0000 0.0000  12 Br 3.52, 4 Cl 3.67
Br 0.8761 0.3746 0.3746  6 Br 2.99-3.01
Br 0.3746 0.3746 0.8761  6 Br 2.99-3.01
Br 0.3746 0.8761 0.3746  6 Br 2.99-3.01
Br 0.3746 0.3746 0.3746  6 Br 2.99-3.01
Cl 0.7500 0.7500 0.7500  12 Br 3.52, 4 Pt 3.67

Output
symmetry = F-43m, No. 216
DOS(E_F) = 2.11 states/eV per atom
crystal system = cubic
offset from the most stable computed form = 7.198 eV per formula unit

---

Record 2
KZr2Ag2 after structural relaxation, computed with PBE-GGA.

Cell lengths 9.0335, 9.0335, 2.9271 Å; angles 90.00, 90.00, 90.00 degrees
With the nearest neighbours (Å) after each atom.
Fractional positions:
K 0.0000 0.0000 0.0000  2 K 2.93
K 0.5000 0.5000 0.0000  2 K 2.93
Zr 0.3794 0.8794 0.0000  3 Zr 2.93-3.08, 6 Ag 3.03-3.06
Zr 0.8794 0.6206 0.0000  3 Zr 2.93-3.08, 6 Ag 3.03-3.06
Zr 0.6206 0.1206 0.0000  3 Zr 2.93-3.08, 6 Ag 3.03-3.06
Zr 0.1206 0.3794 0.0000  3 Zr 2.93-3.08, 6 Ag 3.03-3.06
Ag 0.1721 0.6721 0.5000  2 Ag 2.93, 6 Zr 3.03-3.06
Ag 0.6721 0.8279 0.5000  2 Ag 2.93, 6 Zr 3.03-3.06
Ag 0.8279 0.3279 0.5000  2 Ag 2.93, 6 Zr 3.03-3.06
Ag 0.3279 0.1721 0.5000  2 Ag 2.93, 6 Zr 3.03-3.06

Output
symmetry = P4/mbm, No. 127
DOS(E_F) = 1.34 states/eV per atom
crystal system = tetragonal
DFT formation energy = 0.268 eV/atom
offset from the most stable computed form = 0.000 eV per formula unit